! TcBiB3 (PBE, relaxed); values from VASP
&SYSTEM
  ibrav = 0, nat = 5, ntyp = 3
/
ATOMIC_SPECIES
Tc 98.00 Tc.upf
Bi 208.98 Bi.upf
B 10.81 B.upf
ATOMIC_POSITIONS crystal
Tc 0.000 0.000 0.000
Bi 0.500 0.500 0.500
B 0.000 0.500 0.500
B 0.500 0.000 0.500
B 0.500 0.500 0.000
CELL_PARAMETERS angstrom
4.504 0.000 0.000
0.000 4.504 0.000
0.000 0.000 4.504
! uncorrected energy	-3.692	eV/atom
! crystal system	cubic
! excess energy over the best structure of this formula in the dataset	2007	meV per atom
! calculated density	6.2	g cm⁻³
! calculated formation energy	3164	meV/atom